No. 1
DyIn3Sn3 PBE relaxed; total energy = -3.68 eV/atom
1.0
5.060 -3.989 0.000
5.060 3.989 0.000
-0.001 0.000 9.875
Dy In Sn
2 6 6
Direct
0.207 0.207 0.499
0.793 0.793 0.501
0.213 0.787 0.000
0.296 0.296 0.002
0.314 0.686 0.500
0.686 0.314 0.500
0.704 0.704 0.998
0.787 0.213 0.000
0.001 0.001 0.739
0.001 0.499 0.753
0.499 0.001 0.753
0.501 0.999 0.247
0.999 0.501 0.247
0.999 0.999 0.261

No. 2
DyInSn3 PBE relaxed; total energy = -4.16 eV/atom; distance to the lowest polymorph of the same formula = 0 meV per atom
1.0
13.309 0.000 0.000
0.000 6.270 0.000
0.000 0.000 6.393
Dy In Sn
4 4 12
Direct
0.188 0.011 0.250
0.188 0.489 0.750
0.812 0.511 0.250
0.812 0.989 0.750
0.381 0.250 0.000
0.381 0.250 0.500
0.619 0.750 0.000
0.619 0.750 0.500
0.001 0.250 0.000
0.001 0.250 0.500
0.211 0.515 0.250
0.211 0.985 0.750
0.414 0.712 0.750
0.414 0.788 0.250
0.586 0.212 0.750
0.586 0.288 0.250
0.789 0.015 0.250
0.789 0.485 0.750
0.999 0.750 0.000
0.999 0.750 0.500

No. 3
Dy4In5Sn2 PBE relaxed; total energy = -4.08 eV/atom
1.0
8.119 0.000 0.000
0.000 3.389 0.000
-0.882 0.000 10.434
Dy In Sn
4 5 2
Direct
0.172 0.000 0.387
0.277 0.000 0.941
0.723 0.000 0.059
0.828 0.000 0.613
0.192 0.500 0.659
0.445 0.500 0.202
0.500 0.500 0.500
0.555 0.500 0.798
0.808 0.500 0.341
0.065 0.500 0.138
0.935 0.500 0.862

No. 4
Dy3In2Sn PBE relaxed; total energy = -4.40 eV/atom
1.0
4.978 0.000 0.000
0.000 14.948 0.000
0.000 0.000 4.280
Dy In Sn
6 4 2
Direct
0.000 0.000 0.000
0.000 0.335 0.000
0.000 0.665 0.000
0.500 0.165 0.000
0.500 0.500 0.000
0.500 0.835 0.000
0.000 0.171 0.500
0.000 0.829 0.500
0.500 0.329 0.500
0.500 0.671 0.500
0.000 0.500 0.500
0.500 0.000 0.500

No. 5
Dy4In3Sn PBE relaxed; total energy = -4.32 eV/atom
1.0
10.832 0.000 0.000
0.000 7.060 0.000
0.000 0.000 5.536
Dy In Sn
8 6 2
Direct
0.000 0.250 0.000
0.000 0.750 0.000
0.250 0.249 0.414
0.250 0.751 0.414
0.500 0.250 0.000
0.500 0.750 0.000
0.750 0.249 0.586
0.750 0.751 0.586
0.000 0.500 0.500
0.250 0.000 0.907
0.250 0.500 0.903
0.500 0.500 0.500
0.750 0.000 0.093
0.750 0.500 0.097
0.000 0.000 0.500
0.500 0.000 0.500

No. 6
DyInSn PBE relaxed; total energy = -4.09 eV/atom; distance to the lowest polymorph of the same formula = 56 meV per atom
1.0
3.772 0.000 0.000
0.000 3.772 0.000
0.000 0.000 11.192
Dy In Sn
2 2 2
Direct
0.000 0.000 0.000
0.500 0.500 0.500
0.000 0.000 0.323
0.500 0.500 0.823
0.000 0.000 0.679
0.500 0.500 0.179

No. 7
Dy6In5Sn PBE relaxed; total energy = -4.27 eV/atom; distance to the lowest polymorph of the same formula = 0 meV per atom
1.0
2.468 -7.412 0.000
2.468 7.412 0.000
0.000 0.000 8.664
Dy In Sn
6 5 1
Direct
0.000 0.000 0.248
0.000 0.000 0.752
0.334 0.666 0.250
0.334 0.666 0.750
0.666 0.334 0.250
0.666 0.334 0.750
0.166 0.834 0.500
0.171 0.829 0.000
0.500 0.500 0.500
0.829 0.171 0.000
0.834 0.166 0.500
0.500 0.500 0.000

No. 8
Dy2In9Sn PBE relaxed; total energy = -3.38 eV/atom
1.0
4.636 0.000 0.000
0.000 4.636 0.000
0.000 0.000 14.381
Dy In Sn
2 9 1
Direct
0.000 0.000 0.161
0.000 0.000 0.839
0.000 0.500 0.000
0.000 0.500 0.329
0.000 0.500 0.671
0.500 0.000 0.000
0.500 0.000 0.329
0.500 0.000 0.671
0.500 0.500 0.163
0.500 0.500 0.500
0.500 0.500 0.837
0.000 0.000 0.500

No. 9
DyIn2Sn PBE relaxed; total energy = -3.76 eV/atom; distance to the lowest polymorph of the same formula = 185 meV per atom
1.0
3.901 0.000 0.000
0.000 3.901 0.000
0.000 0.000 6.905
Dy In Sn
1 2 1
Direct
0.000 0.000 0.000
0.500 0.500 0.267
0.500 0.500 0.733
0.000 0.000 0.500

No. 10
Dy5In4Sn PBE relaxed; total energy = -4.29 eV/atom
1.0
3.584 0.000 0.000
0.000 3.584 0.000
0.000 0.000 20.679
Dy In Sn
5 4 1
Direct
0.000 0.000 0.000
0.000 0.000 0.200
0.000 0.000 0.400
0.000 0.000 0.600
0.000 0.000 0.800
0.500 0.500 0.100
0.500 0.500 0.299
0.500 0.500 0.701
0.500 0.500 0.900
0.500 0.500 0.500

No. 11
Dy6In5Sn PBE relaxed; total energy = -4.26 eV/atom; distance to the lowest polymorph of the same formula = 14 meV per atom
1.0
4.562 -8.041 0.000
4.562 8.041 0.000
-3.152 0.000 4.347
Dy In Sn
6 5 1
Direct
0.083 0.413 0.748
0.247 0.247 0.247
0.413 0.083 0.748
0.587 0.917 0.252
0.753 0.753 0.753
0.917 0.587 0.252
0.171 0.829 0.000
0.334 0.666 0.500
0.500 0.500 0.000
0.666 0.334 0.500
0.829 0.171 0.000
0.000 0.000 0.500

No. 12
Dy2InSn PBE relaxed; total energy = -4.59 eV/atom
1.0
6.148 0.000 0.000
0.000 4.301 0.000
-2.752 0.000 8.460
Dy In Sn
4 2 2
Direct
0.199 0.250 0.429
0.294 0.750 0.067
0.706 0.250 0.933
0.801 0.750 0.571
0.385 0.750 0.704
0.615 0.250 0.296
0.121 0.250 0.795
0.879 0.750 0.205

No. 13
Dy12In6Sn PBE relaxed; total energy = -4.03 eV/atom
1.0
6.873 3.968 4.048
-6.873 3.968 4.048
0.000 -7.936 4.048
Dy In Sn
12 6 1
Direct
0.059 0.328 0.939
0.061 0.941 0.672
0.173 0.562 0.424
0.328 0.939 0.059
0.424 0.173 0.562
0.438 0.576 0.827
0.562 0.424 0.173
0.576 0.827 0.438
0.672 0.061 0.941
0.827 0.438 0.576
0.939 0.059 0.328
0.941 0.672 0.061
0.141 0.304 0.616
0.304 0.616 0.141
0.384 0.859 0.696
0.616 0.141 0.304
0.696 0.384 0.859
0.859 0.696 0.384
0.000 0.000 0.000

No. 14
Dy2InSn PBE relaxed; total energy = -4.54 eV/atom
1.0
4.934 0.000 0.000
0.000 4.934 0.000
0.000 0.000 4.349
Dy In Sn
2 1 1
Direct
0.000 0.500 0.000
0.500 0.000 0.000
0.000 0.000 0.500
0.500 0.500 0.500

No. 15
Dy8In2Sn PBE relaxed; total energy = -4.48 eV/atom
1.0
9.463 -2.577 0.000
9.463 2.577 0.000
-1.480 0.000 6.735
Dy In Sn
8 2 1
Direct
0.022 0.022 0.257
0.205 0.205 0.804
0.342 0.342 0.528
0.409 0.409 0.038
0.591 0.591 0.962
0.658 0.658 0.472
0.795 0.795 0.196
0.978 0.978 0.743
0.188 0.188 0.246
0.812 0.812 0.754
0.500 0.500 0.500

No. 16
DyIn2Sn PBE relaxed; total energy = -3.67 eV/atom; distance to the lowest polymorph of the same formula = 267 meV per atom
1.0
7.580 0.000 0.000
0.000 7.580 0.000
0.000 0.000 7.580
Dy In Sn
4 8 4
Direct
0.000 0.000 0.000
0.000 0.500 0.500
0.500 0.000 0.500
0.500 0.500 0.000
0.250 0.250 0.250
0.250 0.250 0.750
0.250 0.750 0.250
0.250 0.750 0.750
0.750 0.250 0.250
0.750 0.250 0.750
0.750 0.750 0.250
0.750 0.750 0.750
0.000 0.000 0.500
0.000 0.500 0.000
0.500 0.000 0.000
0.500 0.500 0.500

No. 17
DyInSn PBE relaxed; total energy = -4.15 eV/atom; distance to the lowest polymorph of the same formula = 0 meV per atom
1.0
5.184 0.000 0.000
-2.592 4.489 0.000
0.000 0.000 3.364
Dy In Sn
1 1 1
Direct
0.000 0.000 0.000
0.333 0.667 0.504
0.667 0.333 0.496

No. 18
DyIn2Sn2 PBE relaxed; total energy = -3.86 eV/atom; distance to the lowest polymorph of the same formula = 55 meV per atom
1.0
5.814 0.000 0.000
0.000 5.795 0.000
-2.829 0.000 7.948
Dy In Sn
2 4 4
Direct
0.000 0.000 0.000
0.500 0.500 0.000
0.198 0.000 0.396
0.302 0.500 0.604
0.698 0.500 0.396
0.802 0.000 0.604
0.100 0.500 0.203
0.400 0.000 0.797
0.600 0.000 0.203
0.900 0.500 0.797

No. 19
Dy3In3Sn4 PBE relaxed; total energy = -4.15 eV/atom
1.0
4.464 0.000 0.000
0.000 5.667 5.441
0.000 -5.667 5.441
Dy In Sn
3 3 4
Direct
0.000 0.000 0.000
0.000 0.488 0.830
0.000 0.830 0.488
0.000 0.331 0.331
0.500 0.155 0.662
0.500 0.662 0.155
0.500 0.021 0.291
0.500 0.291 0.021
0.500 0.528 0.528
0.500 0.798 0.798

No. 20
Dy2InSn4 PBE relaxed; total energy = -4.40 eV/atom; distance to the lowest polymorph of the same formula = 0 meV per atom
1.0
9.102 0.000 0.000
0.000 9.212 0.000
-4.516 0.000 4.642
Dy In Sn
4 2 8
Direct
0.250 0.250 0.000
0.250 0.750 0.000
0.750 0.250 0.000
0.750 0.750 0.000
0.000 0.000 0.500
0.500 0.500 0.500
0.000 0.000 0.000
0.000 0.500 0.000
0.250 0.250 0.500
0.250 0.750 0.500
0.500 0.000 0.000
0.500 0.500 0.000
0.750 0.250 0.500
0.750 0.750 0.500